*i*
# La3HoHg PBE-GGA relaxed
# D(E_F) = 7.724 states/eV/f.u.
data_La3HoHg
_cell_length_a 22.8321
_cell_length_b 3.6631
_cell_length_c 8.3735
_cell_angle_alpha 90.00
_cell_angle_beta 105.57
_cell_angle_gamma 90.00
_space_group_name_H-M_alt 'C 1 2/m 1'
_space_group_IT_number 12
loop_
_space_group_symop_operation_xyz
'x,y,z'
'-x,-y,-z'
'-x,y,-z'
'x,-y,z'
'x+1/2,y+1/2,z'
'-x+1/2,-y+1/2,-z'
'-x+1/2,y+1/2,-z'
'x+1/2,-y+1/2,z'
loop_
_atom_site_label
_atom_site_fract_x
_atom_site_fract_y
_atom_site_fract_z
_atom_site_occupancy
La1 0.0145 0.0000 0.2490 1
La2 0.1210 0.5000 0.0347 1
La3 0.1752 0.0000 0.4568 1
Ho1 0.2376 0.5000 0.8251 1
Hg1 0.0838 0.5000 0.6147 1

*ii*
# La3HoHg PBE-GGA relaxed
# D(E_F) = 8.430 states/eV/f.u.
data_La3HoHg
_cell_length_a 3.8756
_cell_length_b 10.8439
_cell_length_c 8.2727
_cell_angle_alpha 90.00
_cell_angle_beta 90.00
_cell_angle_gamma 90.00
_space_group_name_H-M_alt 'P m m n'
_space_group_IT_number 59
loop_
_space_group_symop_operation_xyz
'x,y,z'
'-x,-y,-z'
'-x+1/2,-y+1/2,z'
'x+1/2,y+1/2,-z'
'x+1/2,-y,-z'
'-x+1/2,y,z'
'-x,y+1/2,-z'
'x,-y+1/2,z'
loop_
_atom_site_label
_atom_site_fract_x
_atom_site_fract_y
_atom_site_fract_z
_atom_site_occupancy
La1 0.2500 0.9998 0.2458 1
La2 0.2500 0.2500 0.5473 1
Ho1 0.2500 0.2500 0.9417 1
Hg1 0.2500 0.7500 0.7759 1

Which structure is most stable? *ii*, by 1.3 kJ/mol of atoms over the runner-up.

*i*
# LaNdHoHg PBE-GGA relaxed
# D(E_F) = 6.187 states/eV/f.u.
data_LaNdHoHg
_cell_length_a 7.8743
_cell_length_b 7.8743
_cell_length_c 7.8743
_cell_angle_alpha 90.00
_cell_angle_beta 90.00
_cell_angle_gamma 90.00
_space_group_name_H-M_alt 'F -4 3 m'
_space_group_IT_number 216
_space_group_name_Hall 'F -4 2 3'
loop_
_atom_site_label
_atom_site_fract_x
_atom_site_fract_y
_atom_site_fract_z
_atom_site_occupancy
La1 0.0000 0.0000 0.0000 1
Nd1 0.0000 0.0000 0.5000 1
Ho1 0.2500 0.2500 0.7500 1
Hg1 0.2500 0.2500 0.2500 1

*ii*
# LaNdHoHg PBE-GGA relaxed
# D(E_F) = 5.605 states/eV/f.u.
data_LaNdHoHg
_cell_length_a 3.7207
_cell_length_b 3.7207
_cell_length_c 8.9074
_cell_angle_alpha 90.00
_cell_angle_beta 90.00
_cell_angle_gamma 90.00
_space_group_name_H-M_alt 'P 4 m m'
_space_group_IT_number 99
loop_
_space_group_symop_operation_xyz
'x,y,z'
'-y,x,z'
'-x,-y,z'
'y,-x,z'
'-x,y,z'
'y,x,z'
'x,-y,z'
'-y,-x,z'
loop_
_atom_site_label
_atom_site_fract_x
_atom_site_fract_y
_atom_site_fract_z
_atom_site_occupancy
La1 0.0000 0.0000 0.0000 1
Nd1 0.5000 0.5000 0.7098 1
Ho1 0.5000 0.5000 0.2788 1
Hg1 0.0000 0.0000 0.4762 1

Which structure is most stable? *ii*, by 13.6 kJ/mol of atoms over the runner-up.

*i*
# LaPmHoHg PBE-GGA relaxed
# D(E_F) = 6.437 states/eV/f.u.
data_LaPmHoHg
_cell_length_a 7.8290
_cell_length_b 7.8290
_cell_length_c 7.8290
_cell_angle_alpha 90.00
_cell_angle_beta 90.00
_cell_angle_gamma 90.00
_space_group_name_H-M_alt 'F -4 3 m'
_space_group_IT_number 216
_space_group_name_Hall 'F -4 2 3'
loop_
_atom_site_label
_atom_site_fract_x
_atom_site_fract_y
_atom_site_fract_z
_atom_site_occupancy
La1 0.0000 0.0000 0.0000 1
Pm1 0.2500 0.2500 0.7500 1
Ho1 0.0000 0.0000 0.5000 1
Hg1 0.2500 0.2500 0.2500 1

*ii*
# LaPmHoHg PBE-GGA relaxed
# D(E_F) = 5.827 states/eV/f.u.
data_LaPmHoHg
_cell_length_a 3.7078
_cell_length_b 3.7078
_cell_length_c 8.9139
_cell_angle_alpha 90.00
_cell_angle_beta 90.00
_cell_angle_gamma 90.00
_space_group_name_H-M_alt 'P 4 m m'
_space_group_IT_number 99
loop_
_space_group_symop_operation_xyz
'x,y,z'
'-y,x,z'
'-x,-y,z'
'y,-x,z'
'-x,y,z'
'y,x,z'
'x,-y,z'
'-y,-x,z'
loop_
_atom_site_label
_atom_site_fract_x
_atom_site_fract_y
_atom_site_fract_z
_atom_site_occupancy
La1 0.0000 0.0000 0.0000 1
Pm1 0.5000 0.5000 0.7107 1
Ho1 0.5000 0.5000 0.2805 1
Hg1 0.0000 0.0000 0.4810 1

Which structure is most stable? *ii*, by 17.5 kJ/mol of atoms over the runner-up.

*i*
# LaPrHoHg PBE-GGA relaxed
# D(E_F) = 6.219 states/eV/f.u.
data_LaPrHoHg
_cell_length_a 7.8968
_cell_length_b 7.8968
_cell_length_c 7.8968
_cell_angle_alpha 90.00
_cell_angle_beta 90.00
_cell_angle_gamma 90.00
_space_group_name_H-M_alt 'F -4 3 m'
_space_group_IT_number 216
_space_group_name_Hall 'F -4 2 3'
loop_
_atom_site_label
_atom_site_fract_x
_atom_site_fract_y
_atom_site_fract_z
_atom_site_occupancy
La1 0.0000 0.0000 0.0000 1
Pr1 0.0000 0.0000 0.5000 1
Ho1 0.2500 0.2500 0.7500 1
Hg1 0.2500 0.2500 0.2500 1

*ii*
# LaPrHoHg PBE-GGA relaxed
# D(E_F) = 5.420 states/eV/f.u.
data_LaPrHoHg
_cell_length_a 3.7330
_cell_length_b 3.7330
_cell_length_c 8.9195
_cell_angle_alpha 90.00
_cell_angle_beta 90.00
_cell_angle_gamma 90.00
_space_group_name_H-M_alt 'P 4 m m'
_space_group_IT_number 99
loop_
_space_group_symop_operation_xyz
'x,y,z'
'-y,x,z'
'-x,-y,z'
'y,-x,z'
'-x,y,z'
'y,x,z'
'x,-y,z'
'-y,-x,z'
loop_
_atom_site_label
_atom_site_fract_x
_atom_site_fract_y
_atom_site_fract_z
_atom_site_occupancy
La1 0.0000 0.0000 0.0000 1
Pr1 0.5000 0.5000 0.7089 1
Ho1 0.5000 0.5000 0.2772 1
Hg1 0.0000 0.0000 0.4716 1

Which structure is most stable? *ii*, by 13.5 kJ/mol of atoms over the runner-up.

*i*
# LaHoHgRu PBE-GGA relaxed
# D(E_F) = 3.807 states/eV/f.u.
data_LaHoHgRu
_cell_length_a 3.5309
_cell_length_b 3.5309
_cell_length_c 7.7677
_cell_angle_alpha 90.00
_cell_angle_beta 90.00
_cell_angle_gamma 90.00
_space_group_name_H-M_alt 'P 4 m m'
_space_group_IT_number 99
loop_
_space_group_symop_operation_xyz
'x,y,z'
'-y,x,z'
'-x,-y,z'
'y,-x,z'
'-x,y,z'
'y,x,z'
'x,-y,z'
'-y,-x,z'
loop_
_atom_site_label
_atom_site_fract_x
_atom_site_fract_y
_atom_site_fract_z
_atom_site_occupancy
La1 0.0000 0.0000 0.0000 1
Ho1 0.0000 0.0000 0.5606 1
Hg1 0.5000 0.5000 0.3051 1
Ru1 0.5000 0.5000 0.7646 1

*ii*
# LaHoHgRu PBE-GGA relaxed
# D(E_F) = 3.187 states/eV/f.u.
data_LaHoHgRu
_cell_length_a 7.2805
_cell_length_b 7.2805
_cell_length_c 7.2805
_cell_angle_alpha 90.00
_cell_angle_beta 90.00
_cell_angle_gamma 90.00
_space_group_name_H-M_alt 'F -4 3 m'
_space_group_IT_number 216
_space_group_name_Hall 'F -4 2 3'
loop_
_atom_site_label
_atom_site_fract_x
_atom_site_fract_y
_atom_site_fract_z
_atom_site_occupancy
La1 0.0000 0.0000 0.0000 1
Ho1 0.0000 0.0000 0.5000 1
Hg1 0.2500 0.2500 0.2500 1
Ru1 0.2500 0.2500 0.7500 1

Which structure is most stable? *i*, by 11.4 kJ/mol of atoms over the runner-up.

*i*
# LaHoZnHg PBE-GGA relaxed
# D(E_F) = 4.823 states/eV/f.u.
data_LaHoZnHg
_cell_length_a 7.5066
_cell_length_b 7.5066
_cell_length_c 7.5066
_cell_angle_alpha 90.00
_cell_angle_beta 90.00
_cell_angle_gamma 90.00
_space_group_name_H-M_alt 'F -4 3 m'
_space_group_IT_number 216
_space_group_name_Hall 'F -4 2 3'
loop_
_atom_site_label
_atom_site_fract_x
_atom_site_fract_y
_atom_site_fract_z
_atom_site_occupancy
La1 0.0000 0.0000 0.0000 1
Ho1 0.0000 0.0000 0.5000 1
Zn1 0.2500 0.2500 0.7500 1
Hg1 0.2500 0.2500 0.2500 1

*ii*
# LaHoZnHg PBE-GGA relaxed
# D(E_F) = 4.068 states/eV/f.u.
data_LaHoZnHg
_cell_length_a 3.6715
_cell_length_b 3.6715
_cell_length_c 7.6853
_cell_angle_alpha 90.00
_cell_angle_beta 90.00
_cell_angle_gamma 90.00
_space_group_name_H-M_alt 'P 4 m m'
_space_group_IT_number 99
loop_
_space_group_symop_operation_xyz
'x,y,z'
'-y,x,z'
'-x,-y,z'
'y,-x,z'
'-x,y,z'
'y,x,z'
'x,-y,z'
'-y,-x,z'
loop_
_atom_site_label
_atom_site_fract_x
_atom_site_fract_y
_atom_site_fract_z
_atom_site_occupancy
La1 0.0000 0.0000 0.0000 1
Ho1 0.0000 0.0000 0.4670 1
Zn1 0.5000 0.5000 0.2581 1
Hg1 0.5000 0.5000 0.7055 1

Which structure is most stable? *ii*, by 3.8 kJ/mol of atoms over the runner-up.